#w
Here is SmPaIrPd after structural relaxation from Alexandria. Energies are from PBE.

a = 7.0139 Å, b = 7.0139 Å, c = 7.0139 Å
α = 90.00°, β = 90.00°, γ = 90.00°
Last column: nearest neighbours and their distance in Å.
Fractional coordinates of all 16 atoms:
Sm: 0.0000 0.0000 0.0000  4 Ir 3.04, 4 Pd 3.04
Sm: 0.0000 0.5000 0.5000  4 Ir 3.04, 4 Pd 3.04
Sm: 0.5000 0.0000 0.5000  4 Ir 3.04, 4 Pd 3.04
Sm: 0.5000 0.5000 0.0000  4 Ir 3.04, 4 Pd 3.04
Pa: 0.0000 0.0000 0.5000  4 Ir 3.04, 4 Pd 3.04
Pa: 0.0000 0.5000 0.0000  4 Ir 3.04, 4 Pd 3.04
Pa: 0.5000 0.0000 0.0000  4 Ir 3.04, 4 Pd 3.04
Pa: 0.5000 0.5000 0.5000  4 Ir 3.04, 4 Pd 3.04
Ir: 0.2500 0.2500 0.7500  4 Pa 3.04, 4 Sm 3.04
Ir: 0.2500 0.7500 0.2500  4 Pa 3.04, 4 Sm 3.04
Ir: 0.7500 0.2500 0.2500  4 Pa 3.04, 4 Sm 3.04
Ir: 0.7500 0.7500 0.7500  4 Pa 3.04, 4 Sm 3.04
Pd: 0.2500 0.2500 0.2500  4 Pa 3.04, 4 Sm 3.04
Pd: 0.2500 0.7500 0.7500  4 Pa 3.04, 4 Sm 3.04
Pd: 0.7500 0.2500 0.7500  4 Pa 3.04, 4 Sm 3.04
Pd: 0.7500 0.7500 0.2500  4 Pa 3.04, 4 Sm 3.04

Total moment: 0.625 Bohr magnetons per cell



#x
Here is SmPaIrPd after structural relaxation from Alexandria. Energies are from PBE.

a = 4.0879 Å, b = 3.7923 Å, c = 11.8653 Å
α = 90.00°, β = 90.00°, γ = 90.00°
Last column: nearest neighbours and their distance in Å.
Fractional coordinates of all 8 atoms:
Sm: 0.0000 0.0000 0.0000  4 Pd 2.91, 1 Ir 2.97
Sm: 0.0000 0.5000 0.5000  4 Pd 2.91, 1 Ir 2.97
Pa: 0.5000 0.0000 0.7275  4 Ir 2.80, 2 Pd 3.05
Pa: 0.5000 0.5000 0.2275  4 Ir 2.80, 2 Pd 3.05
Ir: 0.0000 0.0000 0.2499  4 Pa 2.80, 2 Pd 2.95, 1 Sm 2.97
Ir: 0.0000 0.5000 0.7499  4 Pa 2.80, 2 Pd 2.95, 1 Sm 2.97
Pd: 0.5000 0.0000 0.4287  4 Sm 2.91, 2 Ir 2.95, 2 Pa 3.05
Pd: 0.5000 0.5000 0.9287  4 Sm 2.91, 2 Ir 2.95, 2 Pa 3.05

Total moment: 0.000 Bohr magnetons per cell



#x (22.3 kJ/mol of atoms below the next structure)



#w
Here is TbPaIrPd after structural relaxation from Alexandria. Energies are from PBE.

a = 4.1077 Å, b = 3.7586 Å, c = 11.5591 Å
α = 90.00°, β = 90.00°, γ = 90.00°
Last column: nearest neighbours and their distance in Å.
Fractional coordinates of all 8 atoms:
Tb: 0.0000 0.0000 0.0000  4 Pd 2.88, 1 Ir 2.92
Tb: 0.0000 0.5000 0.5000  4 Pd 2.88, 1 Ir 2.92
Pa: 0.5000 0.0000 0.7259  4 Ir 2.80, 2 Pd 3.08
Pa: 0.5000 0.5000 0.2259  4 Ir 2.80, 2 Pd 3.08
Ir: 0.0000 0.0000 0.2523  4 Pa 2.80, 1 Tb 2.92, 2 Pd 2.96
Ir: 0.0000 0.5000 0.7523  4 Pa 2.80, 1 Tb 2.92, 2 Pd 2.96
Pd: 0.5000 0.0000 0.4369  4 Tb 2.88, 2 Ir 2.96, 2 Pa 3.08
Pd: 0.5000 0.5000 0.9369  4 Tb 2.88, 2 Ir 2.96, 2 Pa 3.08

Total moment: 0.000 Bohr magnetons per cell



#x
Here is TbPaIrPd after structural relaxation from Alexandria. Energies are from PBE.

a = 6.9697 Å, b = 6.9697 Å, c = 6.9697 Å
α = 90.00°, β = 90.00°, γ = 90.00°
Last column: nearest neighbours and their distance in Å.
Fractional coordinates of all 16 atoms:
Tb: 0.0000 0.0000 0.0000  4 Ir 3.02, 4 Pd 3.02
Tb: 0.0000 0.5000 0.5000  4 Ir 3.02, 4 Pd 3.02
Tb: 0.5000 0.0000 0.5000  4 Ir 3.02, 4 Pd 3.02
Tb: 0.5000 0.5000 0.0000  4 Ir 3.02, 4 Pd 3.02
Pa: 0.0000 0.0000 0.5000  4 Pd 3.02, 4 Ir 3.02
Pa: 0.0000 0.5000 0.0000  4 Ir 3.02, 4 Pd 3.02
Pa: 0.5000 0.0000 0.0000  4 Ir 3.02, 4 Pd 3.02
Pa: 0.5000 0.5000 0.5000  4 Ir 3.02, 4 Pd 3.02
Ir: 0.2500 0.2500 0.2500  4 Tb 3.02, 4 Pa 3.02
Ir: 0.2500 0.7500 0.7500  4 Tb 3.02, 4 Pa 3.02
Ir: 0.7500 0.2500 0.7500  4 Tb 3.02, 4 Pa 3.02
Ir: 0.7500 0.7500 0.2500  4 Tb 3.02, 4 Pa 3.02
Pd: 0.2500 0.2500 0.7500  4 Tb 3.02, 4 Pa 3.02
Pd: 0.2500 0.7500 0.2500  4 Tb 3.02, 4 Pa 3.02
Pd: 0.7500 0.2500 0.2500  4 Tb 3.02, 4 Pa 3.02
Pd: 0.7500 0.7500 0.7500  4 Tb 3.02, 4 Pa 3.02

Total moment: 0.007 Bohr magnetons per cell



#w (21.2 kJ/mol of atoms below the next structure)



#w
Here is PmPaIr after structural relaxation from Alexandria. Energies are from PBE.

a = 6.7063 Å, b = 5.9715 Å, c = 9.8105 Å
α = 90.00°, β = 123.20°, γ = 90.00°
Last column: nearest neighbours and their distance in Å.
Fractional coordinates of all 12 atoms:
Pm: 0.1970 0.1172 0.3972  4 Ir 2.99-3.29
Pm: 0.1970 0.3828 0.8972  4 Ir 2.99-3.29
Pm: 0.8030 0.6172 0.1028  4 Ir 2.99-3.29
Pm: 0.8030 0.8828 0.6028  4 Ir 2.99-3.29
Pa: 0.3266 0.6164 0.6336  3 Ir 2.65-2.73
Pa: 0.3266 0.8836 0.1336  3 Ir 2.65-2.73
Pa: 0.6734 0.1164 0.8664  3 Ir 2.65-2.73
Pa: 0.6734 0.3836 0.3664  3 Ir 2.65-2.73
Ir: 0.3257 0.6353 0.3565  3 Pa 2.65-2.73
Ir: 0.3257 0.8647 0.8565  3 Pa 2.65-2.73
Ir: 0.6743 0.1353 0.1435  3 Pa 2.65-2.73
Ir: 0.6743 0.3647 0.6435  3 Pa 2.65-2.73

Total moment: 0.000 Bohr magnetons per cell



#x
Here is PmPaIr after structural relaxation from Alexandria. Energies are from PBE.

a = 4.8376 Å, b = 4.2638 Å, c = 7.4189 Å
α = 90.00°, β = 92.09°, γ = 90.00°
Last column: nearest neighbours and their distance in Å.
Fractional coordinates of all 6 atoms:
Pm: 0.2487 0.2500 0.1259  3 Ir 2.97-3.08
Pm: 0.7513 0.7500 0.8741  3 Ir 2.97-3.08
Pa: 0.2951 0.7500 0.5114  3 Ir 2.73-2.79, 2 Pa 2.92
Pa: 0.7049 0.2500 0.4886  3 Ir 2.73-2.79, 2 Pa 2.92
Ir: 0.1445 0.2500 0.7292  3 Pa 2.73-2.79, 1 Pm 2.97
Ir: 0.8555 0.7500 0.2708  3 Pa 2.73-2.79, 1 Pm 2.97

Total moment: 0.000 Bohr magnetons per cell



#x (17.7 kJ/mol of atoms below the next structure)